Crystalline ZrRe at its relaxed geometry, computed with PBE.

- Formation enthalpy at 0 K: 50 meV per atom

Lattice parameters (Å, degrees): 11.090 5.376 5.223 90.00 90.00 90.00
Space group Pnma (No. 62)
Asymmetric unit:
1 Zr 0.069 0.250 0.014
2 Zr 0.220 0.750 0.187
3 Re 0.000 0.000 0.500
4 Re 0.164 0.750 0.702